No. 1
A plane-wave DFT calculation with GGA-PBEsol was carried out for a geometry-optimized TaIn2Tc structure.

Summary:
**Energy of formation from the pure elements**: 220 meV/atom
**Spin magnetization**: 0.00 μB per formula unit
**N(E_F)**: 0.587 states/eV per atom
**DFT total energy**: -28.90 eV per formula unit

Cell lengths 2.9831, 2.9831, 9.3465 Å; angles 90.00, 90.00, 111.41 degrees
With the nearest neighbours (Å) after each atom.
Element x y z (fractional)
In (0.0000, 0.0000, 0.0268)  2 Tc 2.83, 4 In 2.98
In (0.5000, 0.5000, 0.7336)  6 In 2.98-3.21, 2 Ta 2.99
Ta (0.0000, 0.0000, 0.4692)  2 Tc 2.51
Tc (0.5000, 0.5000, 0.2704)  2 Ta 2.51

***

No. 2
A plane-wave DFT calculation with GGA-PBEsol was carried out for a geometry-optimized CaGaSe2 structure.

Summary:
**Formation energy (no corrections)**: -0.94 eV/atom
**Spin magnetization**: 0.00 μB per formula unit
**N(E_F)**: 0.431 states/eV per atom
**DFT total energy**: -16.92 eV per formula unit

Cell lengths 6.0683, 6.0683, 7.9157 Å; angles 112.54, 112.54, 90.00 degrees
With the nearest neighbours (Å) after each atom.
Element x y z (fractional)
Ca (0.7500, 0.2500, 0.5000)  4 Se 2.85
Ca (0.5000, 0.5000, 0.0000)  4 Se 2.85
Ga (0.2500, 0.7500, 0.5000)  4 Se 2.59
Ga (0.0000, 0.0000, 0.0000)  4 Se 2.59
Se (0.3366, 0.8750, 0.2500)  2 Ga 2.59, 2 Ca 2.85
Se (0.9134, 0.3750, 0.2500)  2 Ga 2.59, 2 Ca 2.85
Se (0.1250, 0.0866, 0.7500)  2 Ga 2.59, 2 Ca 2.85
Se (0.6250, 0.6634, 0.7500)  2 Ga 2.59, 2 Ca 2.85

***

No. 3
A plane-wave DFT calculation with GGA-PBEsol was carried out for a geometry-optimized LaZr2BeAu structure.

Summary:
**Energy of formation from the pure elements**: 95 meV/atom
**Spin magnetization**: 0.00 μB per formula unit
**N(E_F)**: 1.255 states/eV per atom
**DFT total energy**: -30.98 eV per formula unit

Cell lengths 4.3308, 4.8794, 4.8794 Å; angles 90.00, 90.00, 90.00 degrees
With the nearest neighbours (Å) after each atom.
Element x y z (fractional)
Be (0.0000, 0.0000, 0.0000)  2 Au 2.17
Au (0.5000, 0.0000, 0.0000)  2 Be 2.17
Zr (0.0000, 0.0000, 0.5000)  2 Be 2.44
Zr (0.0000, 0.5000, 0.0000)  2 Be 2.44
La (0.5000, 0.5000, 0.5000)  8 Zr 3.26, 4 Au 3.45

***

No. 4
A plane-wave DFT calculation with GGA-PBEsol was carried out for a geometry-optimized CdPb2Se structure.

Summary:
**Formation energy (no corrections)**: -0.12 eV/atom
**Spin magnetization**: 0.00 μB per formula unit
**N(E_F)**: 0.355 states/eV per atom
**DFT total energy**: -13.51 eV per formula unit

Cell lengths 3.8602, 4.8367, 6.1475 Å; angles 100.77, 108.30, 90.00 degrees
With the nearest neighbours (Å) after each atom.
Element x y z (fractional)
Cd (0.7274, 0.1012, 0.4547)  1 Se 2.98, 5 Pb 3.10-3.14
Pb (0.9953, 0.1356, 0.9905)  4 Se 3.08-3.12, 3 Cd 3.10-3.36
Pb (0.2645, 0.6139, 0.5290)  1 Se 2.87, 4 Cd 3.10-3.14
Se (0.5129, 0.6493, 0.0257)  5 Pb 2.87-3.12, 1 Cd 2.98